Entry 1:
# K2ZrRh

Crystalline K2ZrRh at its relaxed geometry (PBE-GGA, the Alexandria database).

abc: 3.5521 3.4508 11.1004
angles: 90.00 90.00 90.00
Closest atoms and distances in Å follow each position.
Element x y z (fractional)
Rh1 0.0000 0.0000 0.5612  4 Zr 2.70
K1 0.5000 0.5000 0.3324  4 K 3.45-3.55, 4 Rh 3.55, 1 Zr 3.60
K2 0.0000 0.0000 0.9492  4 K 3.45-3.55
Zr1 0.5000 0.5000 0.6572  4 Rh 2.70

Calculated values
As for the calculated formation energy: 0.46 eV per formula unit. The crystal system is orthorhombic. For the total energy, the calculation gives -0.162 hartree per atom. The calculation puts the density of states at the Fermi level at 5.609 states/eV per cell. Its volume is 136.06 Å³/cell. For the total magnetization, the calculation gives 0.0 μB per cell. The calculation puts the energy above the most stable polymorph in this dataset at 0 meV per atom.

Entry 2:
# Tl5Cd

Crystalline Tl5Cd at its relaxed geometry (PBE-GGA, the Alexandria database).

abc: 6.5805 6.5805 8.1007
angles: 75.42 75.42 31.86
Closest atoms and distances in Å follow each position.
Element x y z (fractional)
Cd1 0.0035 0.0035 0.9977  10 Tl 3.33-3.53, 2 Cd 3.61
Tl1 0.2888 0.2888 0.9449  9 Tl 3.31-3.61, 3 Cd 3.38-3.52
Tl2 0.6631 0.6631 0.6820  2 Cd 3.34, 10 Tl 3.45-3.63
Tl3 0.6057 0.6057 0.2653  2 Cd 3.33, 10 Tl 3.41-3.63
Tl4 0.9442 0.9442 0.6100  1 Cd 3.42, 11 Tl 3.42-3.61
Tl5 0.3280 0.3280 0.3335  10 Tl 3.31-3.61, 2 Cd 3.53

Calculated values
As for the calculated formation energy: 0.16 eV per formula unit. The crystal system is monoclinic. For the total energy, the calculation gives -0.077 hartree per atom. The calculation puts the density of states at the Fermi level at 2.618 states/eV per cell. Its volume is 178.73 Å³/cell. For the total magnetization, the calculation gives 0.0 μB per cell. The calculation puts the energy above the most stable polymorph in this dataset at 4 meV per atom.

Entry 3:
# Ac3LaNd2

Crystalline Ac3LaNd2 at its relaxed geometry (PBE-GGA, the Alexandria database).

abc: 7.2544 9.4719 7.2544
angles: 82.33 83.42 97.67
Closest atoms and distances in Å follow each position.
Element x y z (fractional)
Ac1 0.2972 0.4782 0.8670  2 La 3.46-3.64, 3 Ac 3.70-3.83, 2 Nd 3.77-3.81
Ac2 0.8670 0.0218 0.2972  2 La 3.46-3.64, 3 Ac 3.70-3.83, 2 Nd 3.77-3.81
Nd1 0.8790 0.6191 0.6158  2 Nd 3.52-3.89, 2 La 3.76-3.79, 3 Ac 3.77-3.84
Nd2 0.3842 0.1191 0.1210  2 Nd 3.52-3.89, 2 La 3.76-3.79, 3 Ac 3.77-3.84
Nd3 0.1210 0.3809 0.3842  2 Nd 3.52-3.89, 2 La 3.76-3.79, 3 Ac 3.77-3.84
Ac3 0.7028 0.5218 0.1330  2 La 3.46-3.64, 3 Ac 3.70-3.83, 2 Nd 3.77-3.81
Nd4 0.6158 0.8809 0.8790  2 Nd 3.52-3.89, 2 La 3.76-3.79, 3 Ac 3.77-3.84
Ac4 0.1330 0.9782 0.7028  2 La 3.46-3.64, 3 Ac 3.70-3.83, 2 Nd 3.77-3.81
Ac5 0.5580 0.2500 0.5580  1 La 3.49, 4 Ac 3.70-3.83, 2 Nd 3.84
La1 0.8803 0.2500 0.8803  5 Ac 3.46-3.64, 4 Nd 3.76-3.79
La2 0.1197 0.7500 0.1197  5 Ac 3.46-3.64, 4 Nd 3.76-3.79
Ac6 0.4420 0.7500 0.4420  1 La 3.49, 4 Ac 3.70-3.83, 2 Nd 3.84

Calculated values
As for the calculated formation energy: 0.55 eV per formula unit. The crystal system is monoclinic. For the total energy, the calculation gives -0.161 hartree per atom. The calculation puts the density of states at the Fermi level at 17.379 states/eV per cell. Its volume is 485.13 Å³/cell. For the total magnetization, the calculation gives 0.0 μB per cell. The calculation puts the energy above the most stable polymorph in this dataset at 0 meV per atom.

Entry 4:
# K2HCO

Crystalline K2HCO at its relaxed geometry (PBE-GGA, the Alexandria database).

abc: 5.1243 2.9892 5.1243
angles: 90.00 90.00 90.00
Closest atoms and distances in Å follow each position.
Element x y z (fractional)
C1 0.0000 0.5000 0.0000  2 H 1.49
K1 0.5000 0.0000 0.0000  2 H 2.56
H1 0.0000 0.0000 0.0000  2 C 1.49
K2 0.0000 0.0000 0.5000  2 H 2.56
O1 0.5000 0.5000 0.5000  8 K 2.97, 2 O 2.99

Calculated values
The crystal system is tetragonal. For the total energy, the calculation gives -0.125 hartree per atom. The calculation puts the density of states at the Fermi level at 1.933 states/eV per cell. Its volume is 78.49 Å³/cell. For the total magnetization, the calculation gives 1.2 μB per cell.

Entry 5:
# Ce3Nd2TaN6

Crystalline Ce3Nd2TaN6 at its relaxed geometry (PBE-GGA, the Alexandria database).

abc: 6.0821 6.0821 6.0247
angles: 99.66 99.66 119.97
Closest atoms and distances in Å follow each position.
Element x y z (fractional)
Ce1 0.1665 0.8335 0.5000  4 N 2.42-2.44
N1 0.3715 0.0780 0.2340  1 Ta 2.23, 2 Ce 2.44
N2 0.0780 0.3715 0.2340  1 Ta 2.23, 2 Ce 2.44
N3 0.7845 0.7845 0.2413  1 Ta 2.26, 2 Ce 2.42
Ce2 0.5000 0.5000 0.5000  6 N 2.44-2.69
Ce3 0.8335 0.1665 0.5000  4 N 2.42-2.44
Nd1 0.6666 0.3334 0.0000  6 N 2.53-2.55
N4 0.2155 0.2155 0.7587  1 Ta 2.26, 2 Ce 2.42
N5 0.9220 0.6285 0.7660  1 Ta 2.23, 2 Ce 2.44
N6 0.6285 0.9220 0.7660  1 Ta 2.23, 2 Ce 2.44
Ta1 0.0000 0.0000 0.0000  6 N 2.23-2.26
Nd2 0.3334 0.6666 0.0000  6 N 2.53-2.55

Calculated values
The crystal system is monoclinic. For the total energy, the calculation gives -0.324 hartree per atom. The calculation puts the density of states at the Fermi level at 8.241 states/eV per cell. Its volume is 181.90 Å³/cell. For the total magnetization, the calculation gives 0.0 μB per cell. As for the uncorrected formation energy: -1.396 eV per atom.

Entry 6:
# Y2ErH

Crystalline Y2ErH at its relaxed geometry (PBE-GGA, the Alexandria database).

abc: 3.5865 3.5865 8.7785
angles: 78.21 78.21 60.00
Closest atoms and distances in Å follow each position.
Element x y z (fractional)
Y1 0.0555 0.0555 0.8336  3 H 2.52
Er1 0.4995 0.4995 0.5016  6 Y 3.51-3.55, 6 Er 3.59
Y2 0.2789 0.2789 0.1634  3 H 2.49
H1 0.6662 0.6662 0.0014  6 Y 2.49-2.52

Calculated values
The crystal system is trigonal. For the total energy, the calculation gives -0.198 hartree per atom. The calculation puts the density of states at the Fermi level at 4.942 states/eV per cell. Its volume is 95.03 Å³/cell. For the total magnetization, the calculation gives 0.3 μB per cell. The calculation puts the energy above the most stable polymorph in this dataset at 12 meV per atom.

Entry 7:
# Cu4P5

Crystalline Cu4P5 at its relaxed geometry (PBE-GGA, the Alexandria database).

abc: 7.7213 7.7213 4.8364
angles: 90.00 90.00 120.00
Closest atoms and distances in Å follow each position.
Element x y z (fractional)
Cu1 0.3704 0.0000 0.2500  9 P 2.50-2.73
P1 0.2864 0.0000 0.7500  7 Cu 2.50-2.65
Cu2 0.0000 0.3704 0.2500  9 P 2.50-2.73
P2 0.6667 0.3333 0.5000  2 P 2.42
P3 0.0000 0.2864 0.7500  7 Cu 2.50-2.65
P4 0.0000 0.7136 0.2500  7 Cu 2.50-2.65
Cu3 0.6296 0.0000 0.7500  9 P 2.50-2.73
Cu4 0.3704 0.3704 0.7500  9 P 2.50-2.73
Cu5 0.0000 0.0000 0.0000  2 Cu 2.42, 6 P 2.52
P5 0.7136 0.7136 0.7500  7 Cu 2.50-2.65
Cu6 0.0000 0.6296 0.7500  9 P 2.50-2.73
P6 0.3333 0.6667 0.5000  2 P 2.42
P7 0.7136 0.0000 0.2500  7 Cu 2.50-2.65
P8 0.6667 0.3333 0.0000  2 P 2.42
Cu7 0.6296 0.6296 0.2500  9 P 2.50-2.73
Cu8 0.0000 0.0000 0.5000  2 Cu 2.42, 6 P 2.52
P9 0.2864 0.2864 0.2500  7 Cu 2.50-2.65
P10 0.3333 0.6667 0.0000  2 P 2.42

Calculated values
As for the calculated formation energy: 4.06 eV per formula unit. The crystal system is hexagonal. For the total energy, the calculation gives -0.161 hartree per atom. The calculation puts the density of states at the Fermi level at 10.069 states/eV per cell. Its volume is 249.71 Å³/cell. For the total magnetization, the calculation gives 0.0 μB per cell.

Entry 8:
# AcTmPSe

Crystalline AcTmPSe at its relaxed geometry (PBE-GGA, the Alexandria database).

abc: 4.1079 4.1081 7.7788
angles: 90.01 105.31 120.00
Closest atoms and distances in Å follow each position.
Element x y z (fractional)
P1 0.2864 0.5411 0.8427  3 Tm 2.79, 3 Ac 3.01
Ac1 0.1191 0.9575 0.0918  3 P 3.01, 3 Se 3.24
Se1 0.9845 0.3904 0.3900  3 Tm 3.03, 3 Ac 3.24, 1 P 3.35
Tm1 0.4880 0.1419 0.6451  3 P 2.79, 3 Se 3.03

Calculated values
The crystal system is trigonal. For the total energy, the calculation gives -0.219 hartree per atom. The calculation puts the density of states at the Fermi level at 2.240 states/eV per cell. Its volume is 108.28 Å³/cell. For the total magnetization, the calculation gives 0.0 μB per cell. As for the uncorrected formation energy: -1.597 eV per atom.

Entry 9:
# CoPdIN2

Crystalline CoPdIN2 at its relaxed geometry (PBE-GGA, the Alexandria database).

abc: 3.6340 3.6340 8.1186
angles: 90.00 90.00 90.00
Closest atoms and distances in Å follow each position.
Element x y z (fractional)
N1 0.5000 0.0000 0.0000  2 Co 1.82
N2 0.0000 0.5000 0.0000  2 Co 1.82
I1 0.0000 0.0000 0.5000  4 Pd 2.57
Co1 0.0000 0.0000 0.0000  4 N 1.82
Pd1 0.5000 0.5000 0.5000  4 I 2.57

Calculated values
The crystal system is tetragonal. For the total energy, the calculation gives -0.184 hartree per atom. The calculation puts the density of states at the Fermi level at 4.660 states/eV per cell. Its volume is 107.21 Å³/cell. For the total magnetization, the calculation gives 0.3 μB per cell. As for the uncorrected formation energy: 1.093 eV per atom. The calculation puts the energy above the most stable polymorph in this dataset at 0 meV per atom.

Entry 10:
# TiInBW2

Crystalline TiInBW2 at its relaxed geometry (PBE-GGA, the Alexandria database).

abc: 4.2391 4.3975 4.2391
angles: 90.00 90.00 90.00
Closest atoms and distances in Å follow each position.
Element x y z (fractional)
W1 0.0000 0.0000 0.5000  2 B 2.12
W2 0.5000 0.0000 0.0000  2 B 2.12
Ti1 0.0000 0.5000 0.0000  2 B 2.20
In1 0.5000 0.5000 0.5000  4 Ti 3.00, 8 W 3.05
B1 0.0000 0.0000 0.0000  4 W 2.12, 2 Ti 2.20

Calculated values
As for the calculated formation energy: 0.70 eV per formula unit. The crystal system is tetragonal. For the total energy, the calculation gives -0.312 hartree per atom. The calculation puts the density of states at the Fermi level at 5.502 states/eV per cell. Its volume is 79.02 Å³/cell. For the total magnetization, the calculation gives 0.0 μB per cell.

Entry 11:
# HoAg5Te4

Crystalline HoAg5Te4 at its relaxed geometry (PBE-GGA, the Alexandria database).

abc: 4.4879 8.3553 8.9204
angles: 117.93 104.57 90.00
Closest atoms and distances in Å follow each position.
Element x y z (fractional)
Ag1 0.5000 0.5000 0.0000  4 Te 2.98
Ho1 0.5000 0.0000 0.0000  6 Te 3.13-3.15
Te1 0.7072 0.2072 0.4143  6 Ag 2.84-2.92, 1 Ho 3.13
Te2 0.0000 0.2652 0.0000  4 Ag 2.84-2.98, 2 Ho 3.15
Ag2 0.8135 0.0331 0.6271  4 Te 2.84-2.92, 2 Ag 3.00
Ag3 0.1865 0.9669 0.3729  4 Te 2.84-2.92, 2 Ag 3.00
Te3 0.2928 0.7928 0.5857  6 Ag 2.84-2.92, 1 Ho 3.13
Ag4 0.8135 0.5939 0.6271  4 Te 2.84-2.92, 2 Ag 3.00
Te4 0.0000 0.7348 0.0000  4 Ag 2.84-2.98, 2 Ho 3.15
Ag5 0.1865 0.4061 0.3729  4 Te 2.84-2.92, 2 Ag 3.00

Calculated values
The crystal system is orthorhombic. For the total energy, the calculation gives -0.128 hartree per atom. The calculation puts the density of states at the Fermi level at 0.552 states/eV per cell. Its volume is 283.31 Å³/cell. For the total magnetization, the calculation gives 0.0 μB per cell. As for the uncorrected formation energy: -0.332 eV per atom.

Entry 12:
# TcRhSe

Crystalline TcRhSe at its relaxed geometry (PBE-GGA, the Alexandria database).

abc: 7.3809 7.1209 2.7908
angles: 84.20 73.71 22.10
Closest atoms and distances in Å follow each position.
Element x y z (fractional)
Rh1 0.9930 0.9930 0.0070  2 Tc 2.60, 6 Rh 2.79-2.83, 2 Se 2.85
Se1 0.6701 0.6701 0.3299  2 Tc 2.73, 6 Se 2.79-2.83, 2 Rh 2.85
Tc1 0.3369 0.3369 0.6631  2 Rh 2.60, 2 Se 2.73, 6 Tc 2.79-2.83

Calculated values
The crystal system is orthorhombic. For the total energy, the calculation gives -0.243 hartree per atom. The calculation puts the density of states at the Fermi level at 2.708 states/eV per cell. Its volume is 47.56 Å³/cell. For the total magnetization, the calculation gives 0.4 μB per cell. As for the uncorrected formation energy: 0.448 eV per atom. The calculation puts the energy above the most stable polymorph in this dataset at 405 meV per atom.